(1)
First-principles (PBE-GGA) data for ErScAg4 after structural relaxation, as listed in Alexandria via LeMat-Bulk.

The structure belongs to space group F-43m (No. 216); the cell edges are 7.935, 7.935 and 7.935 Å and the angles 90.00°, 90.00° and 90.00°. The inequivalent atoms are Er at (0.000, 0.000, 0.000), Sc at (0.250, 0.250, 0.250) and Ag at (0.125, 0.125, 0.625).

=====

(2)
First-principles (PBE-GGA) data for Ho2Ge4Ir5 after structural relaxation, as listed in Alexandria via LeMat-Bulk.

The structure belongs to space group Fmmm (No. 69); the cell edges are 5.623, 9.544 and 15.017 Å and the angles 90.00°, 90.00° and 90.00°. The inequivalent atoms are Ho at (0.000, 0.000, 0.119), Ge at (0.000, 0.157, 0.369), Ir at (0.000, 0.000, 0.500), Ir at (0.250, 0.250, 0.000) and Ir at (0.250, 0.250, 0.250).

=====

Calculated total energy in eV per atom, matching the order above: -3.84; -7.14
ΔE_f in eV per atom, matching the order above: -0.13; -0.60
V in Å³ per cell, matching the order above: 499.57; 805.82